1.
DFT (meta-GGA SCAN) results for ZrSnAu3 at its PBEsol-relaxed geometry.

The calculation puts the density of states at the Fermi level at 2.78 states/eV/f.u. Its total energy is -271.3 eV per cell. Its formation energy from the elements is 0.5615 eV per atom.

Cell lengths 4.966, 4.966, 4.966 Å; angles 90.00, 90.00, 90.00 degrees
Fractional positions:
Sn (0.000, 0.000, 0.000)
Au (0.500, 0.000, 0.000)
Zr (0.500, 0.500, 0.500)
Au (0.000, 0.000, 0.500)
Au (0.000, 0.500, 0.000)



2.
DFT (meta-GGA SCAN) results for SrAu2 at its PBEsol-relaxed geometry.

The calculation puts the density of states at the Fermi level at 0.94 states/eV/f.u. Its total energy is -326.4 eV per cell. Its formation energy from the elements is -0.8668 eV per atom.

Cell lengths 4.207, 4.207, 9.155 Å; angles 103.28, 103.28, 90.00 degrees
Fractional positions:
Au (0.673, 0.173, 0.346)
Sr (0.000, 0.000, 0.000)
Au (0.827, 0.327, 0.654)
Sr (0.250, 0.750, 0.500)
Au (0.423, 0.423, 0.846)
Au (0.577, 0.577, 0.154)



3.
DFT (meta-GGA SCAN) results for Sr4Au at its PBEsol-relaxed geometry.

The calculation puts the density of states at the Fermi level at 5.39 states/eV/f.u. Its total energy is -160.1 eV per cell. Its formation energy from the elements is -0.3621 eV per atom.

Cell lengths 3.946, 7.421, 7.421 Å; angles 85.95, 74.58, 74.58 degrees
Fractional positions:
Sr (0.751, 0.685, 0.812)
Au (0.000, 0.000, 0.000)
Sr (0.249, 0.315, 0.188)
Sr (0.437, 0.812, 0.315)
Sr (0.563, 0.188, 0.685)



4.
DFT (meta-GGA SCAN) results for SrAu3 at its PBEsol-relaxed geometry.

The calculation puts the density of states at the Fermi level at 0.87 states/eV/f.u. Its total energy is -232.4 eV per cell. Its formation energy from the elements is -0.6729 eV per atom.

Cell lengths 3.786, 4.706, 5.369 Å; angles 90.00, 90.00, 90.00 degrees
Fractional positions:
Au (0.000, 0.000, 0.247)
Au (0.000, 0.500, 0.500)
Au (0.000, 0.000, 0.753)
Sr (0.500, 0.500, 0.000)



5.
DFT (meta-GGA SCAN) results for Sr7Au3 at its PBEsol-relaxed geometry.

The calculation puts the density of states at the Fermi level at 6.14 states/eV/f.u. Its total energy is -739.6 eV per cell. Its formation energy from the elements is -0.6381 eV per atom.

Cell lengths 7.044, 10.925, 10.925 Å; angles 120.00, 90.00, 90.00 degrees
Fractional positions:
Au (0.668, 0.811, 0.189)
Sr (0.434, 0.458, 0.542)
Au (0.168, 0.623, 0.811)
Sr (0.457, 0.667, 0.333)
Sr (0.751, 0.750, 0.875)
Au (0.168, 0.189, 0.377)
Sr (0.751, 0.125, 0.250)
Au (0.168, 0.189, 0.811)
Sr (0.251, 0.875, 0.125)
Sr (0.434, 0.458, 0.917)
Sr (0.751, 0.125, 0.875)
Sr (0.934, 0.917, 0.458)
Sr (0.251, 0.250, 0.125)
Sr (0.934, 0.542, 0.083)
Au (0.668, 0.377, 0.189)
Au (0.668, 0.811, 0.623)
Sr (0.434, 0.083, 0.542)
Sr (0.934, 0.542, 0.458)
Sr (0.251, 0.875, 0.750)
Sr (0.957, 0.333, 0.667)



6.
DFT (meta-GGA SCAN) results for SrAu2 at its PBEsol-relaxed geometry.

The calculation puts the density of states at the Fermi level at 0.84 states/eV/f.u. Its total energy is -326.5 eV per cell. Its formation energy from the elements is -0.8875 eV per atom.

Cell lengths 4.708, 5.992, 5.992 Å; angles 76.05, 66.87, 66.87 degrees
Fractional positions:
Au (0.162, 0.290, 0.385)
Au (0.162, 0.885, 0.790)
Au (0.838, 0.115, 0.210)
Sr (0.542, 0.708, 0.208)
Sr (0.458, 0.292, 0.792)
Au (0.838, 0.710, 0.615)



7.
DFT (meta-GGA SCAN) results for Sr5Au4 at its PBEsol-relaxed geometry.

The calculation puts the density of states at the Fermi level at 6.03 states/eV/f.u. Its total energy is -790.2 eV per cell. Its formation energy from the elements is -0.7861 eV per atom.

Cell lengths 7.164, 9.303, 9.303 Å; angles 120.00, 90.00, 90.00 degrees
Fractional positions:
Sr (0.250, 0.000, 0.264)
Au (0.250, 0.396, 0.396)
Sr (0.000, 0.333, 0.667)
Au (0.000, 0.000, 0.000)
Sr (0.500, 0.667, 0.333)
Sr (0.250, 0.264, 0.000)
Au (0.750, 0.396, 0.000)
Sr (0.750, 0.736, 0.000)
Au (0.750, 0.000, 0.396)
Sr (0.500, 0.333, 0.667)
Au (0.250, 0.604, 0.000)
Au (0.250, 0.000, 0.604)
Au (0.500, 0.000, 0.000)
Au (0.750, 0.604, 0.604)
Sr (0.250, 0.736, 0.736)
Sr (0.750, 0.000, 0.736)
Sr (0.750, 0.264, 0.264)
Sr (0.000, 0.667, 0.333)



8.
DFT (meta-GGA SCAN) results for SrAu3 at its PBEsol-relaxed geometry.

The calculation puts the density of states at the Fermi level at 0.94 states/eV/f.u. Its total energy is -232.0 eV per cell. Its formation energy from the elements is -0.5718 eV per atom.

Cell lengths 3.870, 3.870, 6.236 Å; angles 90.00, 90.00, 90.00 degrees
Fractional positions:
Sr (0.000, 0.000, 0.314)
Au (0.000, 0.500, 0.897)
Au (0.500, 0.500, 0.560)
Au (0.500, 0.000, 0.897)